Record 1
DFT (GGA-PBE) results for a geometry-optimized Sc2FeHg structure.

Results
* volume: 80 Å³/f.u.
* total moment: 1.3 μB/f.u.
* space-group type: P4mm (99)
* formation energy: -0.0138 eV/atom
* calculated density: 7.211 g/cm3

a = 3.5908 Å, b = 3.5908 Å, c = 6.1861 Å
α = 90.00°, β = 90.00°, γ = 90.00°
With the nearest neighbours (Å) after each atom.
Element x y z (fractional)
Fe1 0.0000 0.0000 0.4585  5 Sc 2.72-2.92
Hg1 0.5000 0.5000 0.7531  5 Sc 2.79-2.92, 4 Fe 3.13
Sc1 0.0000 0.0000 0.9871  1 Fe 2.92, 4 Hg 2.92, 4 Sc 3.20
Sc2 0.5000 0.5000 0.3013  4 Fe 2.72, 1 Hg 2.79

Record 2
DFT (GGA-PBE) results for a geometry-optimized SiMo2P structure.

Results
* uncorrected formation energy: -0.3114 eV/atom
* volume: 57 Å³/f.u.
* total moment: 0.0 μB/f.u.
* space-group type: Cm (8)
* calculated density: 7.351 g/cm3

a = 4.6327 Å, b = 4.6327 Å, c = 4.3627 Å
α = 75.20°, β = 75.20°, γ = 38.97°
With the nearest neighbours (Å) after each atom.
Element x y z (fractional)
Mo1 0.9898 0.9898 0.0628  3 Si 2.50-2.55, 4 P 2.62-2.73
Mo2 0.7621 0.7621 0.6880  3 P 2.53-2.54, 4 Si 2.64-2.72
P1 0.4996 0.4996 0.5427  7 Mo 2.53-2.73, 2 Si 2.74
Si1 0.2484 0.2484 0.2066  7 Mo 2.50-2.72, 2 P 2.74

Record 3
DFT (GGA-PBE) results for a geometry-optimized Np3CoS6 structure.

Results
* uncorrected formation energy: -1.1152 eV/atom
* volume: 209 Å³/f.u.
* total moment: 12.0 μB/f.u.
* space-group type: R-3 (148)
* calculated density: 7.641 g/cm3

a = 7.5946 Å, b = 7.5946 Å, c = 7.5946 Å
α = 99.37°, β = 99.37°, γ = 99.37°
With the nearest neighbours (Å) after each atom.
Element x y z (fractional)
Np1 0.3792 0.8805 0.7079  7 S 2.66-2.91
Np2 0.8805 0.7079 0.3792  7 S 2.66-2.91
Np3 0.2921 0.6208 0.1195  7 S 2.66-2.91
Np4 0.7079 0.3792 0.8805  7 S 2.66-2.91
Np5 0.1195 0.2921 0.6208  7 S 2.66-2.91
Np6 0.6208 0.1195 0.2921  7 S 2.66-2.91
Co1 0.0000 0.0000 0.0000  6 S 2.33
Co2 0.5000 0.5000 0.5000  6 S 2.47
S1 0.3028 0.9669 0.0589  1 Co 2.33
S2 0.0331 0.9411 0.6972  1 Co 2.33
S3 0.5709 0.8091 0.4334  1 Co 2.47, 3 Np 2.66-2.76
S4 0.9411 0.6972 0.0331  1 Co 2.33
S5 0.4334 0.5709 0.8091  1 Co 2.47, 3 Np 2.66-2.76
S6 0.1909 0.5666 0.4291  1 Co 2.47, 3 Np 2.66-2.76
S7 0.8091 0.4334 0.5709  1 Co 2.47, 3 Np 2.66-2.76
S8 0.5666 0.4291 0.1909  1 Co 2.47, 3 Np 2.66-2.76
S9 0.0589 0.3028 0.9669  1 Co 2.33
S10 0.4291 0.1909 0.5666  1 Co 2.47, 3 Np 2.66-2.76
S11 0.9669 0.0589 0.3028  1 Co 2.33
S12 0.6972 0.0331 0.9411  1 Co 2.33

Record 4
DFT (GGA-PBE) results for a geometry-optimized Ho2CoHg structure.

Results
* volume: 116 Å³/f.u.
* total moment: 0.0 μB/f.u.
* space-group type: R-3m (166)
* formation energy: -0.0474 eV/atom
* calculated density: 8.470 g/cm3

a = 3.7811 Å, b = 3.7811 Å, c = 9.5846 Å
α = 78.62°, β = 78.62°, γ = 60.00°
With the nearest neighbours (Å) after each atom.
Element x y z (fractional)
Co1 0.5000 0.5000 0.5000  6 Ho 2.62
Hg1 0.0000 0.0000 0.0000  2 Ho 3.22
Ho1 0.1152 0.1152 0.6545  3 Co 2.62
Ho2 0.8848 0.8848 0.3455  3 Co 2.62

Which value of volume does entry 1 give?
80 Å³/f.u.

Please write out number 1 again, unchanged.
DFT (GGA-PBE) results for a geometry-optimized Sc2FeHg structure.

Results
* volume: 80 Å³/f.u.
* total moment: 1.3 μB/f.u.
* space-group type: P4mm (99)
* formation energy: -0.0138 eV/atom
* calculated density: 7.211 g/cm3

a = 3.5908 Å, b = 3.5908 Å, c = 6.1861 Å
α = 90.00°, β = 90.00°, γ = 90.00°
With the nearest neighbours (Å) after each atom.
Element x y z (fractional)
Fe1 0.0000 0.0000 0.4585  5 Sc 2.72-2.92
Hg1 0.5000 0.5000 0.7531  5 Sc 2.79-2.92, 4 Fe 3.13
Sc1 0.0000 0.0000 0.9871  1 Fe 2.92, 4 Hg 2.92, 4 Sc 3.20
Sc2 0.5000 0.5000 0.3013  4 Fe 2.72, 1 Hg 2.79